A relaxed structure of MnCr2Se, computed with GGA-PBE.

Calculated values
size of the total moment = 0.9 Bohr magnetons per cell
formation energy without anion corrections = 0.30 eV/atom
symmetry = Pmmm
crystal system = orthorhombic
Fermi-level density of states = 4.0 states/eV/cell

Geometry as POSCAR:
```
MnCr2Se
1.0
2.880 0.000 0.000
0.000 3.726 0.000
0.000 0.000 4.800
Mn Cr Se
1 2 1
Direct
0.000 0.000 0.000
0.500 0.500 0.225
0.500 0.500 0.775
0.000 0.000 0.500
```